Entry from Alexandria: a PBEsol-optimized structure of ReNi2Pb (meta-GGA SCAN).

Results
calculated formation energy: 61.1 kJ/mol of atoms
space group: C2/m
raw total energy: -176.691 eV/cell
crystal system: monoclinic
M_tot: 0.0 μB per formula unit

POSCAR file:
```
ReNi2Pb
1.0
-1.848 -1.284 1.749
2.874 -2.929 -1.436
2.778 1.657 4.152
Re Ni Pb
1 2 1
direct
0.500 0.000 0.000
0.240 0.481 0.191
0.760 0.519 0.809
0.000 0.000 0.500
```